Density functional theory data (PBE-GGA) for GaSbPI2 after structural relaxation.

Unit cell a=5.5120 b=5.5120 c=5.3965 alpha=90.00 beta=90.00 gamma=90.00
Last column: nearest neighbours and their distance in Å.
Space group P4/mmm (No. 123)
One atom of each set of equivalent atoms:
Ga: 0.0000 0.0000 0.0000 (multiplicity 1)  8 I 3.86, 4 Sb 3.90
Sb: 0.5000 0.5000 0.0000 (multiplicity 1)  2 P 2.70
P: 0.5000 0.5000 0.5000 (multiplicity 1)  2 Sb 2.70, 4 I 2.76
I: 0.0000 0.5000 0.5000 (multiplicity 2)  2 P 2.76

Output
Formation energy from raw total energies: 1.9 eV per formula unit
E_tot: -2.76 eV/atom
Energy relative to the lowest polymorph listed for this composition: 0.0 meV per atom